Entry 1:
A relaxed structure of Ca3Zn3Pd2. Source: Alexandria via LeMat-Bulk, functional PBE.

abc: 4.437 10.563 15.117
angles: 90.00 90.00 90.00
Space group Cmcm (No. 63)
Symmetry-distinct sites (fractional):
Ca (0.000, 0.086, 0.105) (multiplicity 8)
Ca (0.000, 0.371, 0.250) (multiplicity 4)
Zn (0.000, 0.330, 0.750) (multiplicity 4)
Zn (0.000, 0.376, 0.035) (multiplicity 8)
Pd (0.000, 0.209, 0.602) (multiplicity 8)

Results
relative energy among the computed polymorphs = 5 meV/atom
crystal system = orthorhombic
M_tot = 0.00 μB per cell
DFT formation energy = -0.526 eV/atom
VASP energy = -3.0526 eV/atom

=====

Entry 2:
A relaxed structure of YTl3Zn. Source: Alexandria via LeMat-Bulk, functional PBE.

abc: 5.267 5.267 5.267
angles: 90.00 90.00 90.00
Space group Pm-3m (No. 221)
Symmetry-distinct sites (fractional):
Y (0.000, 0.000, 0.000) (multiplicity 1)
Tl (0.000, 0.500, 0.500) (multiplicity 3)
Zn (0.500, 0.500, 0.500) (multiplicity 1)

Results
relative energy among the computed polymorphs = 0 meV/atom
crystal system = cubic
M_tot = 0.00 μB per cell
DFT formation energy = 0.216 eV/atom
VASP energy = -2.7510 eV/atom

=====

> Number 1 is which compound?

Ca3Zn3Pd2